K2InPb (SCAN, PBEsol geometry); SG = Cm; ΔE to the lowest computed polymorph = 0.0000 eV per atom; D(E_F) = 1.922 states/eV/cell; crystal system = monoclinic
1.0
4.0506 0.0000 0.0000
0.0000 6.0475 -0.2096
-2.0253 -2.8009 6.0586
Pb In K
1 1 2
direct
0.5349 0.5335 0.0698 Pb
0.2162 0.7176 0.4325 In
0.9741 0.9733 0.9481 K
0.7748 0.2756 0.5496 K

K2InPb (SCAN, PBEsol geometry); SG = F-43m; ΔE to the lowest computed polymorph = 0.0049 eV per atom; D(E_F) = 2.009 states/eV/cell; crystal system = cubic
1.0
-1.7682 5.0297 -1.9307
-5.5475 1.0310 -0.5600
-2.5759 3.6365 3.5060
K Pb In
2 1 1
direct
0.0000 0.0000 0.0000 K
0.7500 0.7500 0.7500 K
0.5000 0.5000 0.5000 Pb
0.2500 0.2500 0.2500 In